DFT (GGA-PBE) results for a geometry-optimized Sc2CrH structure.

- distance to the lowest polymorph of the same formula (meV/atom) = 327.6
- magnetic moment (μB per cell) = 2.39
- V (A^3/atom) = 18.5
- uncorrected energy (eV/cell) = -24.04

a = 8.2276 Å, b = 8.2276 Å, c = 8.2276 Å
α = 22.93°, β = 22.93°, γ = 22.93°
Last column: nearest neighbours and their distance in Å.
Fractional coordinates of all 4 atoms:
Sc 0.0790 0.0790 0.0790  1 H 1.90
Sc 0.9210 0.9210 0.9210  1 H 1.90
Cr 0.5000 0.5000 0.5000  6 Sc 2.83
H 0.0000 0.0000 0.0000  2 Sc 1.90

***

DFT (GGA-PBE) results for a geometry-optimized ScCr2H2 structure.

- distance to the lowest polymorph of the same formula (meV/atom) = 0.0
- magnetic moment (μB per cell) = 0.00
- V (A^3/atom) = 10.5
- uncorrected energy (eV/cell) = -31.58

a = 5.2448 Å, b = 5.2448 Å, c = 5.2448 Å
α = 142.83°, β = 142.83°, γ = 53.57°
Last column: nearest neighbours and their distance in Å.
Fractional coordinates of all 5 atoms:
Sc 0.0000 0.0000 0.0000  8 H 2.72, 8 Cr 2.88
Cr 0.2500 0.7500 0.5000  4 H 1.95
Cr 0.7500 0.2500 0.5000  4 H 1.95
H 0.3564 0.3564 0.0000  4 Cr 1.95
H 0.6436 0.6436 0.0000  4 Cr 1.95

***

DFT (GGA-PBE) results for a geometry-optimized Sc2CrH structure.

- distance to the lowest polymorph of the same formula (meV/atom) = 0.0
- magnetic moment (μB per cell) = 5.96
- V (A^3/atom) = 16.2
- uncorrected energy (eV/cell) = -50.71

a = 5.5219 Å, b = 5.5219 Å, c = 5.5219 Å
α = 110.37°, β = 110.37°, γ = 107.69°
Last column: nearest neighbours and their distance in Å.
Fractional coordinates of all 8 atoms:
Sc 0.0224 0.6250 0.8974  2 H 2.00
Sc 0.3750 0.2724 0.3974  2 H 2.00
Sc 0.7276 0.1250 0.1026  2 H 2.00
Sc 0.8750 0.9776 0.6026  2 H 2.00
Cr 0.2500 0.7500 0.5000  8 Sc 2.84-3.05
Cr 0.5000 0.5000 0.0000  8 Sc 2.84-3.05
H 0.0000 0.0000 0.0000  4 Sc 2.00
H 0.7500 0.2500 0.5000  4 Sc 2.00

***

DFT (GGA-PBE) results for a geometry-optimized Sc2CrH structure.

- distance to the lowest polymorph of the same formula (meV/atom) = 504.1
- magnetic moment (μB per cell) = 3.29
- V (A^3/atom) = 16.9
- uncorrected energy (eV/cell) = -23.34

a = 4.5742 Å, b = 4.5742 Å, c = 4.5742 Å
α = 60.00°, β = 60.00°, γ = 60.00°
Last column: nearest neighbours and their distance in Å.
Fractional coordinates of all 4 atoms:
Sc 0.2500 0.2500 0.2500  4 Cr 2.80, 4 H 2.80
Sc 0.7500 0.7500 0.7500  4 Cr 2.80, 4 H 2.80
Cr 0.0000 0.0000 0.0000  8 Sc 2.80
H 0.5000 0.5000 0.5000  8 Sc 2.80

***

DFT (GGA-PBE) results for a geometry-optimized ScCrTcH2 structure.

- magnetic moment (μB per cell) = 2.01
- V (A^3/atom) = 14.2
- uncorrected energy (eV/cell) = -30.14

a = 3.5855 Å, b = 3.5855 Å, c = 5.5415 Å
α = 90.00°, β = 90.00°, γ = 90.00°
Last column: nearest neighbours and their distance in Å.
Fractional coordinates of all 5 atoms:
Sc 0.0000 0.0000 0.0000  4 H 1.79
Cr 0.5000 0.5000 0.5000  4 Tc 2.54
Tc 0.0000 0.0000 0.5000  4 Cr 2.54, 2 Sc 2.77
H 0.0000 0.5000 0.0000  2 Sc 1.79
H 0.5000 0.0000 0.0000  2 Sc 1.79

***

DFT (GGA-PBE) results for a geometry-optimized ScCr2HW structure.

- magnetic moment (μB per cell) = 1.85
- V (A^3/atom) = 12.5
- uncorrected energy (eV/cell) = -40.25

a = 4.2277 Å, b = 4.2277 Å, c = 3.5051 Å
α = 90.00°, β = 90.00°, γ = 90.00°
Last column: nearest neighbours and their distance in Å.
Fractional coordinates of all 5 atoms:
Sc 0.0000 0.0000 0.0000  2 H 1.75
Cr 0.0000 0.5000 0.5000  2 H 2.11
Cr 0.5000 0.0000 0.5000  2 H 2.11
H 0.0000 0.0000 0.5000  2 Sc 1.75
W 0.5000 0.5000 0.0000  8 Cr 2.75, 4 Sc 2.99

***

Please write out number 5 again, unchanged.
DFT (GGA-PBE) results for a geometry-optimized ScCrTcH2 structure.

- magnetic moment (μB per cell) = 2.01
- V (A^3/atom) = 14.2
- uncorrected energy (eV/cell) = -30.14

a = 3.5855 Å, b = 3.5855 Å, c = 5.5415 Å
α = 90.00°, β = 90.00°, γ = 90.00°
Last column: nearest neighbours and their distance in Å.
Fractional coordinates of all 5 atoms:
Sc 0.0000 0.0000 0.0000  4 H 1.79
Cr 0.5000 0.5000 0.5000  4 Tc 2.54
Tc 0.0000 0.0000 0.5000  4 Cr 2.54, 2 Sc 2.77
H 0.0000 0.5000 0.0000  2 Sc 1.79
H 0.5000 0.0000 0.0000  2 Sc 1.79

***

Which of these has the highest V?
number 1

***

magnetic moment of number 5 (ScCrTcH2)?
2.01 μB per cell

***

Copy entry 3 word for word.
DFT (GGA-PBE) results for a geometry-optimized Sc2CrH structure.

- distance to the lowest polymorph of the same formula (meV/atom) = 0.0
- magnetic moment (μB per cell) = 5.96
- V (A^3/atom) = 16.2
- uncorrected energy (eV/cell) = -50.71

a = 5.5219 Å, b = 5.5219 Å, c = 5.5219 Å
α = 110.37°, β = 110.37°, γ = 107.69°
Last column: nearest neighbours and their distance in Å.
Fractional coordinates of all 8 atoms:
Sc 0.0224 0.6250 0.8974  2 H 2.00
Sc 0.3750 0.2724 0.3974  2 H 2.00
Sc 0.7276 0.1250 0.1026  2 H 2.00
Sc 0.8750 0.9776 0.6026  2 H 2.00
Cr 0.2500 0.7500 0.5000  8 Sc 2.84-3.05
Cr 0.5000 0.5000 0.0000  8 Sc 2.84-3.05
H 0.0000 0.0000 0.0000  4 Sc 2.00
H 0.7500 0.2500 0.5000  4 Sc 2.00